DyHoAsI2: optimized geometry, GGA-PBE.

Properties
**Space group**: P3m1 (156)
**Crystal system**: trigonal
**Final energy**: -4.847 eV/atom

Cell: 4.164 4.164 10.856 Å, 90.00 90.00 120.00°
Element x y z (fractional)
I  0.000  0.000  0.326
I  0.333  0.667  0.673
Ho  0.333  0.667  0.141
As  0.667  0.333  0.001
Dy  0.000  0.000  0.859

=====

CdCoSiAg: optimized geometry, GGA-PBE.

Properties
**Space group**: F-43m (216)
**Crystal system**: cubic
**Energy above the most stable polymorph in this dataset**: 0 meV per atom

Cell: 4.436 4.436 4.436 Å, 60.00 60.00 60.00°
Element x y z (fractional)
Ag  0.250  0.250  0.250
Cd  0.500  0.500  0.500
Si  0.000  0.000  0.000
Co  0.750  0.750  0.750

=====

BeAlReW: optimized geometry, GGA-PBE.

Properties
**Space group**: F-43m (216)
**Crystal system**: cubic
**Energy above the most stable polymorph in this dataset**: 0 meV per atom

Cell: 4.271 4.271 4.271 Å, 60.00 60.00 60.00°
Element x y z (fractional)
W  0.000  0.000  0.000
Re  0.250  0.250  0.250
Al  0.500  0.500  0.500
Be  0.750  0.750  0.750